First-principles (PBE) data for crystalline Y2Sn2Hg at its relaxed geometry, as listed in Alexandria via LeMat-Bulk.

The calculation puts the energy of formation at -0.917 eV/f.u. As for the polymorph energy (0 for the lowest one): 395 meV/atom.

The space group is I4/mmm (No. 139) and the conventional cell measures 5.866, 5.866 and 9.432 Å, with angles of 90.00, 90.00 and 90.00 degrees. The distinct sites, in fractional coordinates, are Y at (0.000, 0.500, 0.250), Sn at (0.000, 0.000, 0.158) and Hg at (0.000, 0.000, 0.500).

First-principles (PBE) data for crystalline Y2SnHg3 at its relaxed geometry, as listed in Alexandria via LeMat-Bulk.

The calculation puts the energy of formation at -2.595 eV/f.u.

The space group is Fmmm (No. 69) and the conventional cell measures 7.116, 9.870 and 17.045 Å, with angles of 90.00, 90.00 and 90.00 degrees. The distinct sites, in fractional coordinates, are Y at (0.246, 0.000, 0.000), Y at (0.250, 0.250, 0.250), Sn at (0.000, 0.000, 0.334), Hg at (0.000, 0.000, 0.166) and Hg at (0.000, 0.249, 0.083).

First-principles (PBE) data for crystalline Y5Sn2Hg2 at its relaxed geometry, as listed in Alexandria via LeMat-Bulk.

The calculation puts the energy of formation at -5.100 eV/f.u.

The space group is Cmce (No. 64) and the conventional cell measures 15.757, 8.232 and 7.866 Å, with angles of 90.00, 90.00 and 90.00 degrees. The distinct sites, in fractional coordinates, are Y at (0.000, 0.000, 0.000), Y at (0.139, 0.173, 0.335), Sn at (0.205, 0.000, 0.000) and Hg at (0.000, 0.133, 0.630).

First-principles (PBE) data for crystalline YSnHg at its relaxed geometry, as listed in Alexandria via LeMat-Bulk.

The calculation puts the energy of formation at -1.423 eV/f.u.

The space group is P3m1 (No. 156) and the conventional cell measures 4.7727, 4.7727 and 3.9623 Å, with angles of 90.00, 90.00 and 120.00 degrees. The distinct sites, in fractional coordinates, are Y at (0.0000, 0.0000, 0.0000), Sn at (0.3333, 0.6667, 0.4165) and Hg at (0.6667, 0.3333, 0.6582).

First-principles (PBE) data for crystalline Y4SnHg3 at its relaxed geometry, as listed in Alexandria via LeMat-Bulk.

The calculation puts the energy of formation at -4.408 eV/f.u.

The space group is Pmmm (No. 47) and the conventional cell measures 3.752, 5.262 and 10.590 Å, with angles of 90.00, 90.00 and 90.00 degrees. The distinct sites, in fractional coordinates, are Y at (0.000, 0.000, 0.000), Y at (0.000, 0.000, 0.500), Y at (0.000, 0.500, 0.248), Sn at (0.500, 0.500, 0.500), Hg at (0.500, 0.000, 0.242) and Hg at (0.500, 0.500, 0.000).

First-principles (PBE) data for crystalline YSnHg3 at its relaxed geometry, as listed in Alexandria via LeMat-Bulk.

The calculation puts the energy of formation at 1.668 eV/f.u. As for the polymorph energy (0 for the lowest one): 0 meV/atom.

The space group is Pm-3m (No. 221) and the conventional cell measures 5.447, 5.447 and 5.447 Å, with angles of 90.00, 90.00 and 90.00 degrees. The distinct sites, in fractional coordinates, are Y at (0.000, 0.000, 0.000), Sn at (0.500, 0.500, 0.500) and Hg at (0.000, 0.500, 0.500).

First-principles (PBE) data for crystalline YSn2Hg2 at its relaxed geometry, as listed in Alexandria via LeMat-Bulk.

The calculation puts the energy of formation at -0.620 eV/f.u. As for the polymorph energy (0 for the lowest one): 58 meV/atom.

The space group is P4/mbm (No. 127) and the conventional cell measures 8.282, 8.282 and 3.835 Å, with angles of 90.00, 90.00 and 90.00 degrees. The distinct sites, in fractional coordinates, are Y at (0.000, 0.000, 0.000), Sn at (0.136, 0.364, 0.000) and Hg at (0.166, 0.666, 0.500).

First-principles (PBE) data for crystalline YSnHg3 at its relaxed geometry, as listed in Alexandria via LeMat-Bulk.

The calculation puts the energy of formation at 2.389 eV/f.u. As for the polymorph energy (0 for the lowest one): 144 meV/atom.

The space group is Pm-3m (No. 221) and the conventional cell measures 5.725, 5.725 and 5.725 Å, with angles of 90.00, 90.00 and 90.00 degrees. The distinct sites, in fractional coordinates, are Y at (0.000, 0.000, 0.000), Sn at (0.500, 0.500, 0.500) and Hg at (0.000, 0.000, 0.500).

DOS(E_F) (states/eV per cell)
5.6; 33.2; 43.3; 1.1; 8.0; 3.5; 5.2; 6.8